A relaxed structure of ReHg. Source: the Alexandria database, functional PBE.

Unit cell a=5.232 b=5.232 c=5.232 alpha=90.00 beta=90.00 gamma=90.00
Fractional coordinates of all 8 atoms:
Re (0.104, 0.104, 0.104)
Re (0.396, 0.896, 0.604)
Re (0.604, 0.396, 0.896)
Re (0.896, 0.604, 0.396)
Hg (0.097, 0.597, 0.903)
Hg (0.403, 0.403, 0.403)
Hg (0.597, 0.903, 0.097)
Hg (0.903, 0.097, 0.597)

Calculated values
Calculated formation energy ... 1338 meV per atom

A relaxed structure of YAlAg. Source: the Alexandria database, functional PBE.

Unit cell a=4.692 b=4.692 c=4.692 alpha=60.00 beta=60.00 gamma=60.00
Fractional coordinates of all 3 atoms:
Y (0.000, 0.000, 0.000)
Al (0.500, 0.500, 0.500)
Ag (0.250, 0.250, 0.250)

Calculated values
Calculated formation energy ... -193 meV per atom

A relaxed structure of DyPaAs2. Source: the Alexandria database, functional PBE.

Unit cell a=7.390 b=7.390 c=7.390 alpha=31.79 beta=31.79 gamma=31.79
Fractional coordinates of all 4 atoms:
Dy (0.000, 0.000, 0.000)
Pa (0.824, 0.824, 0.824)
As (0.242, 0.242, 0.242)
As (0.412, 0.412, 0.412)

Calculated values
Calculated formation energy ... -1141 meV per atom